a.
Mn2CuCl, PBEsol geometry, DFT SCAN; calculated density = 6.23 Mg/m³
1.0
4.2868 0.0000 0.0000
2.1434 3.7125 0.0000
2.1434 1.2375 3.5001
Mn Cl Cu
2 1 1
direct
0.0000 0.0000 0.0000
0.7500 0.7500 0.7500
0.5000 0.5000 0.5000
0.2500 0.2500 0.2500

b.
Mn2CuCl, PBEsol geometry, DFT SCAN; calculated density = 5.96 Mg/m³
1.0
-2.5629 1.3102 0.4982
-0.4372 -1.7336 2.3101
3.1069 4.5543 4.0056
Mn Cl Cu
2 1 1
direct
0.0000 0.0000 0.7248
0.0000 0.0000 0.2752
0.5000 0.5000 0.0000
0.5000 0.5000 0.5000

Most stable = b

a.
CuNiCl2, PBEsol geometry, DFT SCAN; calculated density = 4.76 Mg/m³
1.0
3.1346 0.0000 0.0000
0.0000 3.3021 0.0000
-1.5673 -1.6510 6.5031
Cl Cu Ni
2 1 1
direct
0.7448 0.2448 0.4896
0.9947 0.9947 0.9895
0.5520 0.5520 0.1039
0.2085 0.7085 0.4170

b.
CuNiCl2, PBEsol geometry, DFT SCAN; calculated density = 4.32 Mg/m³
1.0
3.3502 0.0000 0.0000
0.0000 3.7271 0.1113
0.0000 -0.3751 5.9285
Cl Ni Cu
2 1 1
direct
0.5000 0.7444 0.3501
0.0000 0.2067 0.8952
0.5000 0.0251 0.6792
0.0000 0.5238 0.5754

Most stable = b

a.
CuCl3O, PBEsol geometry, DFT SCAN; calculated density = 3.23 Mg/m³
1.0
4.5716 0.0000 0.0000
0.0000 4.5716 0.0000
0.0000 0.0000 4.5716
Cu O Cl
1 1 3
direct
0.0000 0.0000 0.0000
0.5000 0.5000 0.5000
0.0000 0.0000 0.5000
0.5000 0.0000 0.0000
0.0000 0.5000 0.0000

b.
CuCl3O, PBEsol geometry, DFT SCAN; calculated density = 3.72 Mg/m³
1.0
-2.2283 -3.3398 1.7046
2.5050 -2.8014 -2.2141
2.7901 -0.1522 3.3492
O Cu Cl
1 1 3
direct
0.0000 0.0000 0.0000
0.5000 0.5000 0.5000
0.0000 0.0000 0.5000
0.0000 0.5000 0.0000
0.5000 0.0000 0.0000

Most stable = a

a.
Cu3Se2Cl2O6, PBEsol geometry, DFT SCAN; calculated density = 4.21 Mg/m³
1.0
-0.6150 -5.4370 0.3169
4.7713 -2.6366 -0.5679
2.0073 -1.5990 7.1591
Cu O Cl Se
3 6 2 2
direct
0.3943 0.3943 0.8548
0.0000 0.0000 0.0000
0.6057 0.6057 0.1452
0.3623 0.3623 0.1281
0.7193 0.1010 0.8584
0.2807 0.8990 0.1416
0.8990 0.2807 0.1416
0.1010 0.7193 0.8584
0.6377 0.6377 0.8719
0.2912 0.2912 0.6277
0.7088 0.7088 0.3723
0.1778 0.1778 0.2582
0.8222 0.8222 0.7418

b.
Cu3Se2Cl2O6, PBEsol geometry, DFT SCAN; calculated density = 4.28 Mg/m³
1.0
6.0867 -0.0053 -0.0457
-0.2627 7.7828 -0.0253
-0.7887 -0.2099 8.4467
Cl O Cu Se
4 12 6 4
direct
0.4188 0.1256 0.3293
0.5812 0.8744 0.6707
0.0372 0.7337 0.4282
0.9628 0.2663 0.5718
0.6844 0.1123 0.0426
0.3156 0.8877 0.9574
0.2100 0.5530 0.1162
0.4767 0.5774 0.3842
0.5233 0.4226 0.6158
0.1737 0.6160 0.7641
0.8263 0.3840 0.2359
0.9146 0.7816 0.9584
0.3799 0.3046 0.8812
0.6201 0.6954 0.1188
0.0854 0.2184 0.0416
0.7900 0.4470 0.8838
0.9043 0.5964 0.1280
0.3933 0.1733 0.0755
0.6067 0.8267 0.9245
0.0957 0.4036 0.8720
0.6899 0.3972 0.4318
0.3101 0.6028 0.5682
0.0984 0.8243 0.8173
0.9016 0.1757 0.1827
0.3819 0.7040 0.2222
0.6181 0.2960 0.7778

Most stable = a

a.
CuOsCl, PBEsol geometry, DFT SCAN; calculated density = 11.22 Mg/m³
1.0
2.7476 0.0000 0.0000
1.3738 2.5208 0.0000
1.3738 0.0000 6.1798
Cu Cl Os
1 1 1
direct
0.3341 0.0000 0.3317
0.9999 0.0000 0.0002
0.6660 0.0000 0.6681

b.
CuOsCl, PBEsol geometry, DFT SCAN; calculated density = 11.56 Mg/m³
1.0
-2.0982 0.1846 1.9165
0.0906 -2.2012 -1.8045
3.2741 -3.0442 3.8777
Os Cu Cl
1 1 1
direct
0.6667 0.3333 0.3352
0.3333 0.6667 0.6649
0.0000 0.0000 0.9998

Most stable = b

a.
CuPb2Cl, PBEsol geometry, DFT SCAN; calculated density = 9.20 Mg/m³
1.0
5.0803 0.0000 0.0000
2.5401 4.3997 0.0000
2.5401 1.4666 4.1480
Cu Pb Cl
1 2 1
direct
0.7500 0.7500 0.7500
0.2500 0.2500 0.2500
0.0000 0.0000 0.0000
0.5000 0.5000 0.5000

b.
CuPb2Cl, PBEsol geometry, DFT SCAN; calculated density = 9.05 Mg/m³
1.0
-0.5664 -3.7265 0.4854
1.4065 -1.4742 5.2016
-3.9512 -0.8345 3.8601
Cu Pb Cl
1 2 1
direct
0.0000 0.5000 0.5000
0.7251 0.2749 0.2749
0.2749 0.7251 0.7251
0.5000 0.0000 0.0000

c.
CuPb2Cl, PBEsol geometry, DFT SCAN; calculated density = 9.49 Mg/m³
1.0
-2.5407 2.7021 -3.3943
0.7612 -0.7735 -4.9092
-3.5730 -2.1806 -2.7850
Cu Cl Pb
1 1 2
direct
0.5000 0.5000 0.5000
0.0000 0.0000 0.0000
0.2500 0.2500 0.2500
0.7500 0.7500 0.7500

d.
CuPb2Cl, PBEsol geometry, DFT SCAN; calculated density = 9.35 Mg/m³
1.0
3.2748 0.0000 0.0000
0.0000 3.2748 0.0000
0.0000 0.0000 8.5058
Pb Cl Cu
2 1 1
direct
0.5000 0.5000 0.2581
0.0000 0.0000 0.9458
0.0000 0.0000 0.5720
0.5000 0.5000 0.7242

Most stable = d